This record from Alexandria via LeMat-Bulk describes crystalline Sr2Pb2Au15 at its relaxed geometry. The functional is PBE-GGA.

Cell and atoms, written as POSCAR:
```
Sr2Pb2Au15
1.0
-0.279 4.376 -6.043
-1.878 -5.415 -4.785
-7.358 1.238 0.286
Au Sr Pb
15 2 2
Cartesian
-0.139 2.188 -3.022
-6.837 0.669 -3.484
-1.356 -2.218 -5.196
-3.679 0.619 0.143
-2.590 3.352 -3.977
-0.939 -2.707 -2.393
-2.678 -0.469 -7.059
-4.180 -2.557 -5.943
-3.667 -3.243 -3.130
-3.405 2.191 -6.553
-6.110 -1.991 -3.990
-5.568 -0.934 -1.370
-5.046 2.263 -1.781
-0.801 1.179 -5.632
-5.335 2.757 -4.600
-3.340 0.070 -3.701
-6.175 0.130 -6.842
-0.975 0.020 -1.080
-8.540 0.179 -9.463
```

Summary:
Volume in Å³ per atom: 21.58
Uncorrected energy in eV per atom: -3.4241

***

This record from Alexandria via LeMat-Bulk describes crystalline RbGaSe3 at its relaxed geometry. The functional is PBE-GGA.

Cell and atoms, written as POSCAR:
```
RbGaSe3
1.0
-0.920 4.616 -2.175
-4.558 -1.737 -1.758
-2.294 1.600 4.366
Ga Se Rb
1 3 1
Cartesian
0.000 0.000 0.000
-1.147 0.800 2.183
-0.460 2.308 -1.087
-2.279 -0.869 -0.879
-3.886 2.239 0.217
```

Summary:
Formation energy without anion corrections in eV per atom: -0.31
Volume in Å³ per atom: 27.88
Uncorrected energy in eV per atom: -3.1986

***

This record from Alexandria via LeMat-Bulk describes crystalline TmCdOs at its relaxed geometry. The functional is PBE-GGA.

Cell and atoms, written as POSCAR:
```
TmCdOs
1.0
4.215 0.000 0.000
0.000 4.382 0.000
0.000 2.191 7.461
Cd Os Tm
2 2 2
Cartesian
1.054 2.191 3.683
3.162 4.382 3.778
3.162 2.191 0.564
1.054 4.382 6.897
1.054 4.382 1.355
3.162 2.191 6.106
```

Summary:
Volume in Å³ per atom: 22.97
Uncorrected energy in eV per atom: -5.5342

***

This record from Alexandria via LeMat-Bulk describes crystalline ZrAgSb3 at its relaxed geometry. The functional is PBE-GGA.

Cell and atoms, written as POSCAR:
```
ZrAgSb3
1.0
-0.861 -0.427 -5.446
3.635 -4.160 -0.249
-4.077 -3.618 0.928
Sb Zr Ag
3 1 1
Cartesian
1.817 -2.080 -0.124
-0.430 -0.213 -2.723
-2.039 -1.809 0.464
0.000 0.000 0.000
-0.652 -4.102 -2.383
```

Summary:
E above lowest polymorph in meV per atom: 0
Formation energy without anion corrections in eV per atom: 0.40
Volume in Å³ per atom: 33.82
Uncorrected energy in eV per atom: -4.3516